An optimized crystal structure of RbCrCo3. Source: Alexandria, functional PBE.

Unit cell a=4.4420 b=4.4420 c=4.4420 alpha=90.00 beta=90.00 gamma=90.00
Sites, in units of the cell vectors:
Cr  0.0000  0.0000  0.0000
Co  0.0000  0.5000  0.0000
Co  0.0000  0.0000  0.5000
Co  0.5000  0.0000  0.0000
Rb  0.5000  0.5000  0.5000

For the density of states at the Fermi level, the calculation gives 1.071 states/eV/atom. The calculation puts the total magnetic moment at 0.91 μB/cell. Its formation energy is 1.352 eV per atom. Its space group is Pm-3m, No. 221.